# BaPmS2Cl PBE-GGA optimized geometry
# raw total energy = -5.4212 eV per atom
# formation energy from raw total energies = -10.33 eV/f.u.
data_BaPmS2Cl
_chemical_formula_sum 'Ba1 Pm1 S2 Cl1'
_symmetry_space_group_name_H-M 'P 1'
_symmetry_Int_Tables_number 1
_cell_length_a 5.443
_cell_length_b 5.443
_cell_length_c 5.684
_cell_angle_alpha 90.00
_cell_angle_beta 90.00
_cell_angle_gamma 90.00
loop_
_symmetry_equiv_pos_as_xyz
'x,y,z'
loop_
_atom_site_label
_atom_site_type_symbol
_atom_site_fract_x
_atom_site_fract_y
_atom_site_fract_z
Ba1 Ba 0.000 0.000 0.000
Pm1 Pm 0.500 0.500 0.342
S1 S 0.000 0.500 0.273
S2 S 0.500 0.000 0.273
Cl1 Cl 0.500 0.500 0.820